## ZrCoI2 (GGA-PBE)

Data for crystalline ZrCoI2 at its relaxed geometry.

## Properties
- E (eV/atom) = -4.278
- raw formation energy (eV per atom) = 0.4110
- excess energy over the best structure of this formula in the dataset (meV per atom) = 20
- calculated density (Mg/m³) = 7.6

Cell lengths 4.996, 4.996, 4.996 Å; angles 60.00, 60.00, 60.00 degrees
Each line ends with the local moment (μB).
Element x y z (fractional)
I (0.250, 0.250, 0.250)  0.04
I (0.750, 0.750, 0.750)  0.04
Co (0.000, 0.000, 0.000)  1.50
Zr (0.500, 0.500, 0.500)  -0.34

## Sn3TeSeS (GGA-PBE)

Data for crystalline Sn3TeSeS at its relaxed geometry.

## Properties
- E (eV/atom) = -4.144
- raw formation energy (eV per atom) = -0.3507
- calculated density (Mg/m³) = 5.6

Cell lengths 4.275, 8.424, 10.150 Å; angles 104.47, 90.00, 90.00 degrees
Element x y z (fractional)
Sn (0.250, 0.785, 0.487)
Sn (0.750, 0.923, 0.109)
Sn (0.750, 0.466, 0.198)
Sn (0.750, 0.215, 0.513)
Sn (0.250, 0.534, 0.802)
Sn (0.250, 0.077, 0.891)
Te (0.750, 0.763, 0.737)
Te (0.250, 0.237, 0.263)
Se (0.250, 0.688, 0.077)
Se (0.750, 0.312, 0.923)
S (0.250, 0.090, 0.632)
S (0.750, 0.910, 0.368)

Repeat the first record exactly.
## ZrCoI2 (GGA-PBE)

Data for crystalline ZrCoI2 at its relaxed geometry.

## Properties
- E (eV/atom) = -4.278
- raw formation energy (eV per atom) = 0.4110
- excess energy over the best structure of this formula in the dataset (meV per atom) = 20
- calculated density (Mg/m³) = 7.6

Cell lengths 4.996, 4.996, 4.996 Å; angles 60.00, 60.00, 60.00 degrees
Each line ends with the local moment (μB).
Element x y z (fractional)
I (0.250, 0.250, 0.250)  0.04
I (0.750, 0.750, 0.750)  0.04
Co (0.000, 0.000, 0.000)  1.50
Zr (0.500, 0.500, 0.500)  -0.34